Entry 1:
K2Rb3Br3Cl2 | GGA-PBE | optimized geometry

The space group is I4/mmm (No. 139) and the conventional cell measures 5.3572, 5.3572 and 31.4587 Å, with angles of 90.00, 90.00 and 90.00 degrees. The asymmetric unit holds K at (0.0000, 0.5000, 0.2500), Rb at (0.0000, 0.0000, 0.0000), Rb at (0.0000, 0.0000, 0.3941), Br at (0.0000, 0.0000, 0.1118), Br at (0.0000, 0.0000, 0.5000) and Cl at (0.0000, 0.0000, 0.2905).

As for the raw formation energy: -17.23 eV/f.u. For the total energy, the calculation gives -3.104 eV per atom. Its volume is 45.1 Å³ per atom.


Entry 2:
Tb3Zr2Zn3 | GGA-PBE | optimized geometry

The space group is Immm (No. 71) and the conventional cell measures 3.4592, 5.0589 and 20.9966 Å, with angles of 90.00, 90.00 and 90.00 degrees. The asymmetric unit holds Tb at (0.0000, 0.0000, 0.0000), Tb at (0.0000, 0.5000, 0.1244), Zr at (0.0000, 0.0000, 0.2328), Zn at (0.0000, 0.0000, 0.5000) and Zn at (0.0000, 0.5000, 0.3802).

For the total energy, the calculation gives -4.578 eV per atom. Its volume is 23.0 Å³ per atom. Its energy of formation from the pure elements is -1.82 eV per formula unit.


Entry 3:
TlCoS2 | GGA-PBE | optimized geometry

The space group is I-42d (No. 122) and the conventional cell measures 6.7098, 6.7098 and 7.7681 Å, with angles of 90.00, 90.00 and 90.00 degrees. The asymmetric unit holds Tl at (0.0000, 0.0000, 0.0000), Co at (0.0000, 0.0000, 0.5000) and S at (0.1302, 0.7500, 0.6250).

As for the raw formation energy: -1.14 eV/f.u. For the total energy, the calculation gives -4.717 eV per atom. Its volume is 21.9 Å³ per atom.


Entry 4:
HfAl2V | GGA-PBE | optimized geometry

The space group is P4/mmm (No. 123) and the conventional cell measures 2.8622, 2.8622 and 8.0963 Å, with angles of 90.00, 90.00 and 90.00 degrees. The asymmetric unit holds Hf at (0.0000, 0.0000, 0.0000), Al at (0.5000, 0.5000, 0.2706) and V at (0.0000, 0.0000, 0.5000).

The energy above the most stable polymorph in this dataset is 24 meV/atom. For the total energy, the calculation gives -6.870 eV per atom. Its volume is 16.6 Å³ per atom. Its energy of formation from the pure elements is -0.92 eV per formula unit.


Repeat the fourth record exactly.
HfAl2V | GGA-PBE | optimized geometry

The space group is P4/mmm (No. 123) and the conventional cell measures 2.8622, 2.8622 and 8.0963 Å, with angles of 90.00, 90.00 and 90.00 degrees. The asymmetric unit holds Hf at (0.0000, 0.0000, 0.0000), Al at (0.5000, 0.5000, 0.2706) and V at (0.0000, 0.0000, 0.5000).

The energy above the most stable polymorph in this dataset is 24 meV/atom. For the total energy, the calculation gives -6.870 eV per atom. Its volume is 16.6 Å³ per atom. Its energy of formation from the pure elements is -0.92 eV per formula unit.